Entry from Alexandria: a geometry-optimized In2CoBiO6 structure (GGA+U).

The calculation puts the total energy at -168.95 eV for the cell shown.

It has space group R3 (No. 146, hexagonal axes), with a = 5.5135 Å, b = 5.5135 Å, c = 14.7168 Å, α = 90.00°, β = 90.00° and γ = 120.00°. Symmetry generates all atoms from In at (0.0000, 0.0000, 0.0000), In at (0.0000, 0.0000, 0.4830), Co at (0.0000, 0.0000, 0.6910), Bi at (0.0000, 0.0000, 0.2138), O at (0.0047, 0.6407, 0.4272) and O at (0.0187, 0.2791, 0.6061).